# CdTc2AsI, relaxed, DFT GGA-PBE
# **E_form (uncorrected)**: 1.91 eV/atom
# **E**: -3.6639 eV per atom
data_CdTc2AsI
_chemical_formula_sum 'Cd1 Tc2 As1 I1'
_cell_length_a 4.899
_cell_length_b 4.899
_cell_length_c 5.550
_cell_angle_alpha 90.00
_cell_angle_beta 90.00
_cell_angle_gamma 90.00
_space_group_name_H-M_alt 'P 4/m m m'
_space_group_IT_number 123
_space_group_name_Hall '-P 4 2'
loop_
_atom_site_label
_atom_site_type_symbol
_atom_site_fract_x
_atom_site_fract_y
_atom_site_fract_z
_atom_site_occupancy
Cd1 Cd 0.000 0.000 0.000 1
Tc1 Tc 0.000 0.500 0.500 1
As1 As 0.500 0.500 0.000 1
I1 I 0.000 0.000 0.500 1